(1)
ZnAg: PBEsol geometry, SCAN.

Lattice parameters (Å, degrees): 2.9735 5.0230 6.7600 108.85 90.00 107.22
Atoms (fractional coordinates):
1 Zn 0.0439 0.0877 0.5918
2 Zn 0.6653 0.3306 0.3667
3 Zn 0.7203 0.4406 0.9102
4 Ag 0.3646 0.7292 0.2550
5 Ag 0.0295 0.0589 0.0292
6 Ag 0.3431 0.6863 0.6804

**Uncorrected energy**: -22.4689 eV/atom
**Volume**: 15.1 Å³/atom
**Formation energy from the elements**: -0.03 eV per atom

***

(2)
ZnAg: PBEsol geometry, SCAN.

Lattice parameters (Å, degrees): 3.0323 4.4395 5.2265 115.13 106.86 90.00
Atoms (fractional coordinates):
1 Ag 0.3841 0.6341 0.7683
2 Ag 0.6159 0.3659 0.2317
3 Zn 0.1327 0.8827 0.2654
4 Zn 0.8673 0.1173 0.7346

**Uncorrected energy**: -22.4637 eV/atom
**Volume**: 15.1 Å³/atom
**Formation energy from the elements**: -0.02 eV per atom

***

(3)
Zn3Ag2: PBEsol geometry, SCAN.

Lattice parameters (Å, degrees): 4.3025 4.3025 5.2351 90.00 90.00 120.00
Atoms (fractional coordinates):
1 Ag 0.6667 0.3333 0.1482
2 Ag 0.3333 0.6667 0.8518
3 Zn 0.3333 0.6667 0.3643
4 Zn 0.0000 0.0000 0.0000
5 Zn 0.6667 0.3333 0.6357

**Uncorrected energy**: -20.5860 eV/atom
**Volume**: 16.8 Å³/atom
**Formation energy from the elements**: 0.07 eV per atom

***

(4)
ZnAg3: PBEsol geometry, SCAN.

Lattice parameters (Å, degrees): 2.8563 2.8563 7.7563 90.00 90.00 90.00
Atoms (fractional coordinates):
1 Ag 0.0000 0.0000 0.7361
2 Ag 0.5000 0.5000 0.0000
3 Ag 0.0000 0.0000 0.2639
4 Zn 0.5000 0.5000 0.5000

**Uncorrected energy**: -26.9164 eV/atom
**Volume**: 15.8 Å³/atom
**Formation energy from the elements**: -0.01 eV per atom

***

(5)
Zn8Ag5: PBEsol geometry, SCAN.

Lattice parameters (Å, degrees): 7.9780 7.9780 7.9780 109.47 109.47 109.47
Atoms (fractional coordinates):
1 Zn 0.2855 0.6557 0.0000
2 Zn 0.0000 0.7794 0.0000
3 Zn 0.2855 0.0000 0.6557
4 Zn 0.0000 0.2855 0.6557
5 Zn 0.3443 0.3443 0.6298
6 Zn 0.3702 0.7145 0.7145
7 Zn 0.6298 0.3443 0.3443
8 Zn 0.6557 0.0000 0.2855
9 Zn 0.7794 0.0000 0.0000
10 Zn 0.7145 0.7145 0.3702
11 Zn 0.2206 0.2206 0.2206
12 Zn 0.7145 0.3702 0.7145
13 Zn 0.0000 0.6557 0.2855
14 Zn 0.6557 0.2855 0.0000
15 Zn 0.0000 0.0000 0.7794
16 Zn 0.3443 0.6298 0.3443
17 Ag 0.0000 0.0000 0.3575
18 Ag 0.0000 0.3575 0.0000
19 Ag 0.6462 0.6462 0.0000
20 Ag 0.6462 0.0000 0.6462
21 Ag 0.3538 0.3538 0.0000
22 Ag 0.3575 0.0000 0.0000
23 Ag 0.0000 0.6462 0.6462
24 Ag 0.3538 0.0000 0.3538
25 Ag 0.6425 0.6425 0.6425
26 Ag 0.0000 0.3538 0.3538

**Uncorrected energy**: -20.4119 eV/atom
**Volume**: 15.0 Å³/atom
**Formation energy from the elements**: -0.03 eV per atom

***

(6)
ZnAg3: PBEsol geometry, SCAN.

Lattice parameters (Å, degrees): 3.2514 4.4296 5.1888 115.27 108.26 90.00
Atoms (fractional coordinates):
1 Ag 0.5000 0.0000 0.0000
2 Ag 0.7350 0.7350 0.4700
3 Ag 0.2650 0.2650 0.5300
4 Zn 0.0000 0.5000 0.0000

**Uncorrected energy**: -26.9043 eV/atom
**Volume**: 15.8 Å³/atom
**Formation energy from the elements**: 0.00 eV per atom

***

(7)
Zn4Ag: PBEsol geometry, SCAN.

Lattice parameters (Å, degrees): 2.7577 2.7577 9.6980 98.17 98.17 90.00
Atoms (fractional coordinates):
1 Zn 0.3950 0.3950 0.7901
2 Zn 0.7982 0.7982 0.5963
3 Zn 0.6050 0.6050 0.2099
4 Zn 0.2018 0.2018 0.4037
5 Ag 0.0000 0.0000 0.0000

**Uncorrected energy**: -17.0734 eV/atom
**Volume**: 14.4 Å³/atom
**Formation energy from the elements**: 0.01 eV per atom

***

(8)
ZnAg2: PBEsol geometry, SCAN.

Lattice parameters (Å, degrees): 5.0005 5.0319 5.0319 75.71 60.21 60.21
Atoms (fractional coordinates):
1 Ag 0.3435 0.5000 0.8129
2 Ag 0.1565 0.1871 0.5000
3 Ag 0.8435 0.8129 0.5000
4 Ag 0.6565 0.5000 0.1871
5 Zn 0.2500 0.0000 0.0000
6 Zn 0.7500 0.0000 0.0000

**Uncorrected energy**: -25.4101 eV/atom
**Volume**: 15.9 Å³/atom
**Formation energy from the elements**: 0.01 eV per atom

***

(9)
ZnAg2: PBEsol geometry, SCAN.

Lattice parameters (Å, degrees): 2.8930 3.6488 5.0081 111.36 106.79 90.00
Atoms (fractional coordinates):
1 Ag 0.8405 0.8405 0.6811
2 Ag 0.1595 0.1595 0.3189
3 Zn 0.5000 0.5000 0.0000

**Uncorrected energy**: -25.4270 eV/atom
**Volume**: 15.6 Å³/atom
**Formation energy from the elements**: -0.01 eV per atom

***

(10)
Zn4Ag: PBEsol geometry, SCAN.

Lattice parameters (Å, degrees): 2.7958 2.7958 10.9305 82.65 82.65 60.00
Atoms (fractional coordinates):
1 Zn 0.1993 0.1993 0.4020
2 Zn 0.5982 0.5982 0.2053
3 Zn 0.8007 0.8007 0.5980
4 Zn 0.4018 0.4018 0.7947
5 Ag 0.0000 0.0000 0.0000

**Uncorrected energy**: -17.0592 eV/atom
**Volume**: 14.6 Å³/atom
**Formation energy from the elements**: 0.03 eV per atom

***

(11)
Zn3Ag4: PBEsol geometry, SCAN.

Lattice parameters (Å, degrees): 4.9018 4.9018 5.2251 90.00 90.00 120.00
Atoms (fractional coordinates):
1 Zn 0.0000 0.5000 0.0000
2 Zn 0.5000 0.0000 0.0000
3 Zn 0.5000 0.5000 0.0000
4 Ag 0.0000 0.0000 0.2548
5 Ag 0.3333 0.6667 0.5000
6 Ag 0.6667 0.3333 0.5000
7 Ag 0.0000 0.0000 0.7452

**Uncorrected energy**: -23.7073 eV/atom
**Volume**: 15.5 Å³/atom
**Formation energy from the elements**: 0.01 eV per atom

***

(12)
ZnAg: PBEsol geometry, SCAN.

Lattice parameters (Å, degrees): 2.9618 4.5366 4.9754 108.15 107.32 90.00
Atoms (fractional coordinates):
1 Ag 0.1147 0.3330 0.2295
2 Ag 0.8853 0.6670 0.7705
3 Zn 0.6349 0.8456 0.2699
4 Zn 0.3651 0.1544 0.7301

**Uncorrected energy**: -22.4730 eV/atom
**Volume**: 15.1 Å³/atom
**Formation energy from the elements**: -0.03 eV per atom

***

Q: formation energy from the elements of number 8 (ZnAg2)?
A: 0.01 eV per atom

***

Q: Look up the volume of the second one.
A: 15.1 Å³/atom